# P2OF

A relaxed structure of P2OF (PBE, Alexandria via LeMat-Bulk).

Summary:
N(E_F): 2.2 states/eV/f.u.
electronic total energy: -4.83 eV per atom
mass density: 3.22 g/cm³
raw formation energy: -0.415 eV/atom
symmetry: I-42d (122)

Unit cell a=3.834 b=3.834 c=7.315 alpha=74.81 beta=74.81 gamma=90.00
Fractional coordinates of all 8 atoms:
F  0.000  0.000  0.000
F  0.750  0.250  0.500
O  0.500  0.500  0.000
O  0.250  0.750  0.500
P  0.375  0.468  0.750
P  0.532  0.125  0.250
P  0.218  0.625  0.250
P  0.875  0.782  0.750


# Sm5Y5Tm

A relaxed structure of Sm5Y5Tm (PBE, Alexandria via LeMat-Bulk).

Summary:
N(E_F): 19.1 states/eV/f.u.
energy of formation: 0.2704 eV per atom
electronic total energy: -5.22 eV per atom
mass density: 6.11 g/cm³
symmetry: C2/m (12)

Unit cell a=6.018 b=9.953 c=6.979 alpha=110.23 beta=90.00 gamma=107.60
Fractional coordinates of all 11 atoms:
Sm  0.000  0.000  0.500
Sm  0.330  0.660  0.828
Sm  0.376  0.751  0.374
Sm  0.670  0.340  0.172
Sm  0.624  0.249  0.626
Tm  0.000  0.000  0.000
Y  0.177  0.354  0.422
Y  0.177  0.353  0.930
Y  0.823  0.646  0.578
Y  0.823  0.647  0.070
Y  0.500  0.000  0.000


# CaZnSb2I

A relaxed structure of CaZnSb2I (PBE, Alexandria via LeMat-Bulk).

Summary:
N(E_F): 5.5 states/eV/f.u.
electronic total energy: -2.24 eV per atom
mass density: 3.65 g/cm³
raw formation energy: 0.371 eV/atom
symmetry: P4/mmm (123)

Unit cell a=6.024 b=6.024 c=5.974 alpha=90.00 beta=90.00 gamma=90.00
Fractional coordinates of all 5 atoms:
Zn  0.500  0.500  0.500
Sb  0.500  0.000  0.000
Sb  0.000  0.500  0.000
Ca  0.000  0.000  0.000
I  0.000  0.000  0.500


# Ho6CuRu5

A relaxed structure of Ho6CuRu5 (PBE, Alexandria via LeMat-Bulk).

Summary:
N(E_F): 7.1 states/eV/f.u.
energy of formation: -0.3779 eV per atom
electronic total energy: -6.87 eV per atom
mass density: 11.02 g/cm³
symmetry: Cmmm (65)

Unit cell a=4.817 b=6.788 c=7.575 alpha=90.00 beta=71.46 gamma=90.00
Fractional coordinates of all 12 atoms:
Ho  0.500  0.745  0.000
Ho  0.500  0.255  0.000
Ho  0.169  0.252  0.662
Ho  0.831  0.252  0.338
Ho  0.831  0.748  0.338
Ho  0.169  0.748  0.662
Ru  0.334  0.500  0.332
Ru  0.335  0.000  0.329
Ru  0.666  0.500  0.668
Ru  0.665  0.000  0.671
Ru  0.000  0.500  0.000
Cu  0.000  0.000  0.000


# TlHF2

A relaxed structure of TlHF2 (PBE, Alexandria via LeMat-Bulk).

Summary:
N(E_F): 0.0 states/eV/f.u.
electronic total energy: -3.57 eV per atom
mass density: 8.38 g/cm³
symmetry: I-42d (122)

Unit cell a=5.147 b=5.147 c=5.147 alpha=60.01 beta=60.01 gamma=90.00
Fractional coordinates of all 8 atoms:
F  0.875  0.624  0.750
F  0.374  0.125  0.250
F  0.376  0.625  0.250
F  0.375  0.626  0.750
H  0.250  0.750  0.500
H  0.500  0.500  0.000
Tl  0.750  0.250  0.500
Tl  0.000  0.000  0.000


# Ba4RhCl

A relaxed structure of Ba4RhCl (PBE, Alexandria via LeMat-Bulk).

Summary:
N(E_F): 4.4 states/eV/f.u.
electronic total energy: -3.53 eV per atom
mass density: 4.05 g/cm³
raw formation energy: -0.718 eV/atom
symmetry: C2/m (12)

Unit cell a=4.540 b=8.252 c=8.717 alpha=115.59 beta=105.10 gamma=90.00
Fractional coordinates of all 6 atoms:
Ba  0.617  0.309  0.234
Ba  0.117  0.763  0.234
Ba  0.383  0.691  0.766
Ba  0.883  0.237  0.766
Cl  0.000  0.000  0.000
Rh  0.500  0.500  0.000


# NbCdH

A relaxed structure of NbCdH (PBE, Alexandria via LeMat-Bulk).

Summary:
N(E_F): 0.4 states/eV/f.u.
electronic total energy: -4.74 eV per atom
mass density: 8.08 g/cm³
symmetry: Pm (6)

Unit cell a=4.938 b=5.799 c=2.995 alpha=98.31 beta=90.01 gamma=89.99
Fractional coordinates of all 6 atoms:
Nb  0.469  0.320  0.195
Nb  0.969  0.067  0.409
H  0.229  0.285  0.671
H  0.709  0.285  0.671
Cd  0.469  0.830  0.822
Cd  0.969  0.597  0.809


# Ac2Pm2SmHo

A relaxed structure of Ac2Pm2SmHo (PBE, Alexandria via LeMat-Bulk).

Summary:
N(E_F): 9.3 states/eV/f.u.
energy of formation: 0.0877 eV per atom
electronic total energy: -4.41 eV per atom
mass density: 7.94 g/cm³
symmetry: Pmc2_1 (26)

Unit cell a=5.911 b=7.345 c=10.202 alpha=90.00 beta=90.00 gamma=90.00
Fractional coordinates of all 12 atoms:
Ac  0.000  0.258  0.175
Ac  0.500  0.508  0.000
Ac  0.500  0.008  0.000
Ac  0.000  0.758  0.825
Pm  0.000  0.258  0.827
Pm  0.000  0.758  0.173
Pm  0.500  0.258  0.344
Pm  0.500  0.758  0.656
Sm  0.000  0.508  0.500
Sm  0.000  0.008  0.500
Ho  0.500  0.257  0.663
Ho  0.500  0.757  0.337


# UAl11Re

A relaxed structure of UAl11Re (PBE, Alexandria via LeMat-Bulk).

Summary:
N(E_F): 9.3 states/eV/f.u.
energy of formation: -0.1216 eV per atom
electronic total energy: -5.11 eV per atom
mass density: 5.47 g/cm³
symmetry: C2/m (12)

Unit cell a=5.271 b=7.045 c=6.892 alpha=81.68 beta=67.52 gamma=67.77
Fractional coordinates of all 13 atoms:
Al  0.018  0.643  0.346
Al  0.636  0.357  0.346
Al  0.000  0.000  0.500
Al  0.364  0.643  0.654
Al  0.000  0.500  0.000
Al  0.982  0.357  0.654
Al  0.500  0.783  0.212
Al  0.288  0.217  0.212
Al  0.500  0.217  0.788
Al  0.712  0.783  0.788
Al  0.500  0.000  0.500
Re  0.500  0.500  0.000
U  0.000  0.000  0.000


# TbNpRu

A relaxed structure of TbNpRu (PBE, Alexandria via LeMat-Bulk).

Summary:
N(E_F): 4.8 states/eV/f.u.
energy of formation: -0.1673 eV per atom
electronic total energy: -9.12 eV per atom
mass density: 12.75 g/cm³
symmetry: P2_1/m (11)

Unit cell a=3.492 b=8.075 c=4.694 alpha=77.92 beta=90.00 gamma=90.00
Fractional coordinates of all 6 atoms:
Np  0.250  0.017  0.813
Np  0.750  0.983  0.187
Tb  0.750  0.368  0.790
Tb  0.250  0.632  0.210
Ru  0.750  0.770  0.647
Ru  0.250  0.230  0.353


# Tl2GeSe3

A relaxed structure of Tl2GeSe3 (PBE, Alexandria via LeMat-Bulk).

Summary:
electronic total energy: -3.64 eV per atom
mass density: 5.98 g/cm³
raw formation energy: -0.336 eV/atom
symmetry: C2/c (15)

Unit cell a=7.126 b=8.021 c=15.607 alpha=88.41 beta=86.42 gamma=63.63
Fractional coordinates of all 24 atoms:
Tl  0.565  0.396  0.345
Tl  0.333  0.807  0.060
Tl  0.962  0.604  0.845
Tl  0.038  0.396  0.155
Tl  0.141  0.193  0.560
Tl  0.435  0.604  0.655
Tl  0.667  0.193  0.940
Tl  0.859  0.807  0.440
Ge  0.734  0.988  0.162
Ge  0.278  0.988  0.338
Ge  0.266  0.012  0.838
Ge  0.722  0.012  0.662
Se  0.119  0.197  0.960
Se  0.317  0.803  0.460
Se  0.403  0.195  0.750
Se  0.826  0.695  0.639
Se  0.479  0.695  0.861
Se  0.032  0.935  0.750
Se  0.683  0.197  0.540
Se  0.174  0.305  0.361
Se  0.881  0.803  0.040
Se  0.968  0.065  0.250
Se  0.597  0.805  0.250
Se  0.521  0.305  0.139


Question: Look up the electronic total energy of the fourth one.
Answer: -6.87 eV per atom